1.
{"formula": "YHoTl", "functional": "PBE-GGA", "state": "relaxed", "lattice_angstrom": [[6.805, 0.000, 0.000], [0.000, 5.057, 0.000], [0.000, 0.000, 9.931]], "species": ["Ho", "Ho", "Ho", "Ho", "Tl", "Tl", "Tl", "Tl", "Y", "Y", "Y", "Y"], "frac_coords": [[0.670, 0.750, 0.061], [0.170, 0.750, 0.439], [0.830, 0.250, 0.561], [0.330, 0.250, 0.939], [0.207, 0.750, 0.119], [0.707, 0.750, 0.381], [0.293, 0.250, 0.619], [0.793, 0.250, 0.881], [0.950, 0.250, 0.207], [0.450, 0.250, 0.293], [0.550, 0.750, 0.707], [0.050, 0.750, 0.793]], "vol_a3_per_cell": 341.7, "de_polymorph_ev_per_atom": 0.000, "space_group": "Pnma, No. 62"}

2.
{"formula": "ErAs2O", "functional": "PBE-GGA", "state": "relaxed", "lattice_angstrom": [[3.784, 0.000, 0.000], [0.000, 3.784, 0.000], [0.000, 0.000, 10.611]], "species": ["As", "As", "As", "As", "Er", "Er", "O", "O"], "frac_coords": [[0.500, 0.000, 0.283], [0.000, 0.000, 0.500], [0.500, 0.500, 0.500], [0.000, 0.500, 0.717], [0.000, 0.500, 0.106], [0.500, 0.000, 0.894], [0.000, 0.000, 0.000], [0.500, 0.500, 0.000]], "vol_a3_per_cell": 152.0, "de_polymorph_ev_per_atom": 0.000, "space_group": "P4/nmm, No. 129"}

3.
{"formula": "KCuPtW", "functional": "PBE-GGA", "state": "relaxed", "lattice_angstrom": [[1.074, -4.316, -1.006], [-2.159, -2.157, -3.389], [2.214, -0.956, -3.870]], "species": ["Cu", "K", "Pt", "W"], "frac_coords": [[0.750, 0.750, 0.750], [0.000, 0.000, 0.000], [0.500, 0.500, 0.500], [0.250, 0.250, 0.250]], "vol_a3_per_cell": 67.1, "de_polymorph_ev_per_atom": 0.000, "space_group": "F-43m, No. 216"}

4.
{"formula": "Dy3Mg3Ga2Pd", "functional": "PBE-GGA", "state": "relaxed", "lattice_angstrom": [[7.326, 0.000, 0.000], [-3.663, 6.344, 0.000], [0.000, 0.000, 4.328]], "species": ["Dy", "Dy", "Dy", "Ga", "Ga", "Mg", "Mg", "Mg", "Pd"], "frac_coords": [[0.585, 0.000, 0.000], [0.415, 0.415, 0.000], [0.000, 0.585, 0.000], [0.667, 0.333, 0.500], [0.333, 0.667, 0.500], [0.240, 0.000, 0.500], [0.000, 0.240, 0.500], [0.760, 0.760, 0.500], [0.000, 0.000, 0.000]], "energy_ev_per_atom": -3.870, "vol_a3_per_cell": 201.1, "space_group": "P-62m, No. 189"}

5.
{"formula": "TbZn2", "functional": "PBE-GGA", "state": "relaxed", "lattice_angstrom": [[3.143, -1.682, 4.123], [-1.194, -4.624, 2.626], [3.183, -4.381, -0.612]], "species": ["Tb", "Tb", "Zn", "Zn", "Zn", "Zn"], "frac_coords": [[0.000, 0.000, 0.000], [0.250, 0.250, 0.250], [0.625, 0.625, 0.125], [0.625, 0.125, 0.625], [0.125, 0.625, 0.625], [0.625, 0.625, 0.625]], "vol_a3_per_cell": 114.5, "ef_kcal_per_mol_atoms": -7.86, "space_group": "Fd-3m, No. 227"}

6.
{"formula": "PaPtNO", "functional": "PBE-GGA", "state": "relaxed", "lattice_angstrom": [[4.116, 0.000, 0.000], [0.000, 5.309, 0.000], [0.000, 0.000, 6.839]], "species": ["N", "N", "O", "O", "Pa", "Pa", "Pt", "Pt"], "frac_coords": [[0.000, 0.331, 0.269], [0.000, 0.831, 0.731], [0.500, 0.858, 0.083], [0.500, 0.358, 0.917], [0.500, 0.489, 0.212], [0.500, 0.989, 0.788], [0.000, 0.076, 0.487], [0.000, 0.576, 0.513]], "vol_a3_per_cell": 149.4, "de_polymorph_ev_per_atom": 0.000, "space_group": "Pmc2_1, No. 26"}

7.
{"formula": "BaAu2F8", "functional": "PBE-GGA", "state": "relaxed", "lattice_angstrom": [[6.278, -2.527, 0.000], [6.278, 2.527, 0.000], [-1.938, 0.000, 4.985]], "species": ["Au", "Au", "Ba", "F", "F", "F", "F", "F", "F", "F", "F"], "frac_coords": [[0.489, 0.972, 0.238], [0.028, 0.511, 0.762], [0.839, 0.161, 0.000], [0.013, 0.685, 0.139], [0.410, 0.746, 0.248], [0.537, 0.229, 0.255], [0.993, 0.400, 0.373], [0.600, 0.007, 0.627], [0.771, 0.463, 0.745], [0.254, 0.590, 0.752], [0.315, 0.987, 0.861]], "energy_ev_per_atom": -3.853, "vol_a3_per_cell": 158.2, "space_group": "C2, No. 5"}

8.
{"formula": "Rb2NaCuCl6", "functional": "PBE-GGA", "state": "relaxed", "lattice_angstrom": [[6.981, -1.358, 0.862], [3.315, 1.974, 6.036], [2.129, -4.965, 4.706]], "species": ["Cl", "Cl", "Cl", "Cl", "Cl", "Cl", "Cu", "Na", "Rb", "Rb"], "frac_coords": [[0.767, 0.233, 0.233], [0.233, 0.767, 0.233], [0.767, 0.767, 0.233], [0.233, 0.233, 0.767], [0.767, 0.233, 0.767], [0.233, 0.767, 0.767], [0.000, 0.000, 0.000], [0.500, 0.500, 0.500], [0.250, 0.250, 0.250], [0.750, 0.750, 0.750]], "energy_ev_per_atom": -3.045, "vol_a3_per_cell": 260.0, "space_group": "Fm-3m, No. 225"}